{"formula": "SrAs2Pb", "functional": "SCAN", "state": "single point on PBEsol structure", "total_energy_ev_per_fu": -140.51, "magnetic_moment_mub_per_fu": 0.0, "lattice_angstrom": [[3.9901, 0.0000, 0.0000], [0.0000, 4.4073, 0.0000], [-0.0406, 0.0000, 6.5169]], "species": ["Sr", "As", "As", "Pb"], "frac_coords": [[0.0000, 0.0000, 0.0000], [0.4971, 0.5000, 0.8124], [0.5029, 0.5000, 0.1876], [0.5000, 0.0000, 0.5000]]}

{"formula": "Sr2As2Pb", "functional": "SCAN", "state": "single point on PBEsol structure", "total_energy_ev_per_fu": -163.24, "magnetic_moment_mub_per_fu": 0.0, "lattice_angstrom": [[-2.6585, 2.6585, 5.4991], [2.6585, -2.6585, 5.4991], [2.6585, 2.6585, -5.4991]], "species": ["Sr", "Sr", "As", "As", "Pb"], "frac_coords": [[0.2500, 0.7500, 0.5000], [0.7500, 0.2500, 0.5000], [0.1100, 0.1100, 0.0000], [0.8900, 0.8900, 0.0000], [0.5000, 0.5000, 0.0000]]}

{"formula": "SrAs2Pb", "functional": "SCAN", "state": "single point on PBEsol structure", "total_energy_ev_per_fu": -140.19, "magnetic_moment_mub_per_fu": 0.0, "lattice_angstrom": [[-3.7672, 3.7672, 4.3321], [3.7672, -3.7672, 4.3321], [3.7672, 3.7672, -4.3321]], "species": ["Sr", "Sr", "As", "As", "As", "As", "Pb", "Pb"], "frac_coords": [[0.0000, 0.0000, 0.0000], [0.7500, 0.2500, 0.5000], [0.1691, 0.6250, 0.0441], [0.3750, 0.4191, 0.5441], [0.5809, 0.1250, 0.9559], [0.8750, 0.8309, 0.4559], [0.2500, 0.7500, 0.5000], [0.5000, 0.5000, 0.0000]]}

{"formula": "SrAsPb2", "functional": "SCAN", "state": "single point on PBEsol structure", "total_energy_ev_per_fu": -195.76, "magnetic_moment_mub_per_fu": 0.0, "lattice_angstrom": [[0.0000, 3.1953, 5.8119], [3.1523, 0.0000, 5.8119], [3.1523, 3.1953, 0.0000]], "species": ["Sr", "As", "Pb", "Pb"], "frac_coords": [[0.0000, 0.0000, 0.0000], [0.5000, 0.5000, 0.5000], [0.0000, 0.5000, 0.5000], [0.5000, 0.0000, 0.0000]]}

{"formula": "SrAsPb2", "functional": "SCAN", "state": "single point on PBEsol structure", "total_energy_ev_per_fu": -196.26, "magnetic_moment_mub_per_fu": 0.0, "lattice_angstrom": [[4.0728, 0.0000, 0.0000], [0.0000, 2.3473, 6.2152], [0.0000, -2.3473, 6.2152]], "species": ["Sr", "As", "Pb", "Pb"], "frac_coords": [[0.0000, 0.0000, 0.0000], [0.5000, 0.4600, 0.4600], [0.0000, 0.2818, 0.2818], [0.5000, 0.6916, 0.6916]]}

{"formula": "SrAs2Pb", "functional": "SCAN", "state": "single point on PBEsol structure", "total_energy_ev_per_fu": -140.00, "magnetic_moment_mub_per_fu": 0.0, "lattice_angstrom": [[4.0115, 0.0000, 0.0000], [0.0000, 4.0115, 0.0000], [0.0000, 0.0000, 6.3170]], "species": ["Sr", "As", "As", "Pb"], "frac_coords": [[0.0000, 0.0000, 0.0000], [0.5000, 0.5000, 0.2249], [0.5000, 0.5000, 0.7751], [0.0000, 0.0000, 0.5000]]}

{"formula": "SrAs2Pb", "functional": "SCAN", "state": "single point on PBEsol structure", "total_energy_ev_per_fu": -139.90, "magnetic_moment_mub_per_fu": 0.0, "lattice_angstrom": [[4.2299, 0.0000, 0.0000], [0.0000, 4.2299, 0.0000], [0.0000, 0.0000, 6.1355]], "species": ["Sr", "As", "As", "Pb"], "frac_coords": [[0.0000, 0.0000, 0.0000], [0.0000, 0.0000, 0.5018], [0.5000, 0.5000, 0.9274], [0.5000, 0.5000, 0.4112]]}

{"formula": "SrAs2Pb", "functional": "SCAN", "state": "single point on PBEsol structure", "total_energy_ev_per_fu": -140.19, "magnetic_moment_mub_per_fu": 0.0, "lattice_angstrom": [[4.8480, 0.0000, 0.0000], [0.0000, 4.8480, 0.0000], [0.0000, 0.0000, 4.1782]], "species": ["Sr", "As", "As", "Pb"], "frac_coords": [[0.0000, 0.0000, 0.0000], [0.0000, 0.5000, 0.5000], [0.5000, 0.0000, 0.5000], [0.5000, 0.5000, 0.0000]]}